A plane-wave DFT calculation with PBE was carried out for crystalline DyThIrI at its relaxed geometry.

## Properties
raw total energy	-6.57	eV/atom
formation energy from raw total energies	-0.96	eV/atom
spin magnetization	0.0	μB/f.u.
symmetry	R3m (160)

a = 4.1892 Å, b = 4.1892 Å, c = 24.4434 Å
α = 90.00°, β = 90.00°, γ = 120.00°
With the nearest neighbours (Å) after each atom.
Positions (direct):
Dy 0.0000 0.0000 0.0000  3 Ir 2.82
Dy 0.3333 0.6667 0.6667  3 Ir 2.82
Dy 0.6667 0.3333 0.3333  3 Ir 2.82
Th 0.0000 0.0000 0.2161  3 Ir 2.80
Th 0.3333 0.6667 0.8828  3 Ir 2.80
Th 0.6667 0.3333 0.5495  3 Ir 2.80
Ir 0.0000 0.0000 0.6070  3 Th 2.80, 3 Dy 2.82
Ir 0.3333 0.6667 0.2737  3 Th 2.80, 3 Dy 2.82
Ir 0.6667 0.3333 0.9404  3 Th 2.80, 3 Dy 2.82
I 0.0000 0.0000 0.7751  3 Th 3.57, 3 Dy 3.59
I 0.3333 0.6667 0.4418  3 Th 3.57, 3 Dy 3.59
I 0.6667 0.3333 0.1085  3 Th 3.57, 3 Dy 3.59